No. 1
The following is a GGA-PBE calculation of Pr3B2O8 after structural relaxation, from the Alexandria database.

Lattice parameters (Å, degrees): 7.081 7.081 7.081 42.56 42.56 42.56
Element x y z (fractional)
Pr 0.000 0.000 0.000
Pr 0.211 0.211 0.211
Pr 0.789 0.789 0.789
B 0.410 0.410 0.410
B 0.590 0.590 0.590
O 0.250 0.724 0.724
O 0.276 0.276 0.750
O 0.276 0.750 0.276
O 0.332 0.332 0.332
O 0.668 0.668 0.668
O 0.724 0.250 0.724
O 0.724 0.724 0.250
O 0.750 0.276 0.276

## Properties
Size of the total moment ... 1.02 μB/cell
Uncorrected energy ... -104.34 eV per cell

No. 2
The following is a GGA-PBE calculation of LiV2B after structural relaxation, from the Alexandria database.

Lattice parameters (Å, degrees): 6.272 6.272 4.595 90.00 90.00 90.00
Element x y z (fractional)
Li 0.000 0.000 0.000
Li 0.000 0.500 0.250
Li 0.500 0.000 0.750
Li 0.500 0.500 0.500
V 0.218 0.250 0.625
V 0.250 0.718 0.875
V 0.250 0.782 0.375
V 0.282 0.250 0.125
V 0.718 0.750 0.125
V 0.750 0.218 0.375
V 0.750 0.282 0.875
V 0.782 0.750 0.625
B 0.000 0.000 0.500
B 0.000 0.500 0.750
B 0.500 0.000 0.250
B 0.500 0.500 0.000

## Properties
Size of the total moment ... 0.00 μB/cell
Uncorrected energy ... -100.95 eV per cell

No. 3
The following is a GGA-PBE calculation of Cs3Li2HoCl9 after structural relaxation, from the Alexandria database.

Lattice parameters (Å, degrees): 7.407 7.407 9.254 90.00 90.00 120.00
Element x y z (fractional)
Cs 0.000 0.000 0.000
Cs 0.333 0.667 0.674
Cs 0.667 0.333 0.326
Li 0.333 0.667 0.152
Li 0.667 0.333 0.848
Ho 0.000 0.000 0.500
Cl 0.000 0.500 0.000
Cl 0.167 0.334 0.335
Cl 0.167 0.833 0.335
Cl 0.334 0.167 0.665
Cl 0.500 0.000 0.000
Cl 0.500 0.500 0.000
Cl 0.666 0.833 0.335
Cl 0.833 0.167 0.665
Cl 0.833 0.666 0.665

## Properties
Size of the total moment ... 0.99 μB/cell
Uncorrected energy ... -55.68 eV per cell

Q: Which of these has the lowest size of the total moment?
A: LiV2B

Q: Which of these has the highest size of the total moment?
A: Pr3B2O8

Q: Number 1 is which compound?
A: Pr3B2O8